a | The following is a PBE calculation of PrAl2PdAu after structural relaxation, from OQMD.

- Total magnetic moment: 0.01 μB/f.u.

Lattice parameters (Å, degrees): 4.429 4.429 10.298 90.00 90.00 90.00
Space group P4/nmm (No. 129, origin choice 2)
Symmetry-distinct sites (fractional):
Pr 0.250 0.250 0.247 [2 per cell]
Al 0.250 0.250 0.637 [2 per cell]
Al 0.250 0.750 0.000 [2 per cell]
Pd 0.250 0.250 0.877 [2 per cell]
Au 0.250 0.750 0.500 [2 per cell]

b | The following is a PBE calculation of PrAl2PdAu after structural relaxation, from OQMD.

- Total magnetic moment: 0.01 μB/f.u.

Lattice parameters (Å, degrees): 4.400 4.400 10.403 90.00 90.00 90.00
Space group P4/nmm (No. 129, origin choice 2)
Symmetry-distinct sites (fractional):
Pr 0.250 0.250 0.247 [2 per cell]
Al 0.250 0.250 0.881 [2 per cell]
Al 0.250 0.750 0.500 [2 per cell]
Pd 0.250 0.750 0.000 [2 per cell]
Au 0.250 0.250 0.636 [2 per cell]

Which structure is the most stable? The one labeled b.

a | The following is a PBE calculation of SrAl2PdAu after structural relaxation, from OQMD.

Lattice parameters (Å, degrees): 4.493 4.493 10.386 90.00 90.00 90.00
Space group P4/nmm (No. 129, origin choice 2)
Symmetry-distinct sites (fractional):
Sr 0.250 0.250 0.243 [2 per cell]
Al 0.250 0.250 0.888 [2 per cell]
Al 0.250 0.750 0.500 [2 per cell]
Pd 0.250 0.750 0.000 [2 per cell]
Au 0.250 0.250 0.635 [2 per cell]

b | The following is a PBE calculation of SrAl2PdAu after structural relaxation, from OQMD.

Lattice parameters (Å, degrees): 4.509 4.509 10.369 90.00 90.00 90.00
Space group P4/nmm (No. 129, origin choice 2)
Symmetry-distinct sites (fractional):
Sr 0.250 0.250 0.250 [2 per cell]
Al 0.250 0.250 0.631 [2 per cell]
Al 0.250 0.750 0.000 [2 per cell]
Pd 0.250 0.250 0.877 [2 per cell]
Au 0.250 0.750 0.500 [2 per cell]

Which structure is the most stable? The one labeled a.

a | The following is a PBE calculation of TmAlPdAu after structural relaxation, from OQMD.

- Total magnetic moment: 0.00 μB/f.u.

Lattice parameters (Å, degrees): 4.4397 4.4397 9.0173 90.00 90.00 120.00
Space group P-6m2 (No. 187)
Symmetry-distinct sites (fractional):
Tm 0.0000 0.0000 0.0000 [1 per cell]
Tm 0.3333 0.6667 0.5000 [1 per cell]
Al 0.6667 0.3333 0.2326 [2 per cell]
Pd 0.3333 0.6667 0.1690 [2 per cell]
Au 0.0000 0.0000 0.3333 [2 per cell]

b | The following is a PBE calculation of TmAlPdAu after structural relaxation, from OQMD.

- Total magnetic moment: 0.00 μB/f.u.

Lattice parameters (Å, degrees): 4.4332 4.4332 9.0343 90.00 90.00 120.00
Space group P6_3mc (No. 186)
Symmetry-distinct sites (fractional):
Tm 0.3333 0.6667 0.0000 [2 per cell]
Al 0.0000 0.0000 0.2370 [2 per cell]
Pd 0.3333 0.6667 0.6663 [2 per cell]
Au 0.3333 0.6667 0.3332 [2 per cell]

Which structure is the most stable? The one labeled b.

a | The following is a PBE calculation of AlPtAu after structural relaxation, from OQMD.

- Total magnetic moment: 0.00 μB/f.u.

Lattice parameters (Å, degrees): 5.947 5.947 5.947 90.00 90.00 90.00
Space group F-43m (No. 216)
Symmetry-distinct sites (fractional):
Al 0.000 0.000 0.000 [4 per cell]
Pt 0.250 0.250 0.250 [4 per cell]
Au 0.250 0.250 0.750 [4 per cell]

b | The following is a PBE calculation of AlPtAu after structural relaxation, from OQMD.

- Total magnetic moment: 0.00 μB/f.u.

Lattice parameters (Å, degrees): 6.767 3.790 7.631 90.00 90.00 90.00
Space group Pnma (No. 62)
Symmetry-distinct sites (fractional):
Al 0.232 0.250 0.131 [4 per cell]
Pt 0.139 0.750 0.931 [4 per cell]
Au 0.038 0.750 0.344 [4 per cell]

Which structure is the most stable? The one labeled b.

a | The following is a PBE calculation of TmAlPtAu after structural relaxation, from OQMD.

- Total magnetic moment: 0.00 μB/f.u.

Lattice parameters (Å, degrees): 4.4246 4.4246 9.0608 90.00 90.00 120.00
Space group P-6m2 (No. 187)
Symmetry-distinct sites (fractional):
Tm 0.0000 0.0000 0.0000 [1 per cell]
Tm 0.3333 0.6667 0.5000 [1 per cell]
Al 0.6667 0.3333 0.2244 [2 per cell]
Pt 0.3333 0.6667 0.1697 [2 per cell]
Au 0.0000 0.0000 0.3371 [2 per cell]

b | The following is a PBE calculation of TmAlPtAu after structural relaxation, from OQMD.

- Total magnetic moment: 0.01 μB/f.u.

Lattice parameters (Å, degrees): 4.4205 4.4205 9.0765 90.00 90.00 120.00
Space group P6_3mc (No. 186)
Symmetry-distinct sites (fractional):
Tm 0.3333 0.6667 0.0000 [2 per cell]
Al 0.0000 0.0000 0.2257 [2 per cell]
Pt 0.3333 0.6667 0.6646 [2 per cell]
Au 0.3333 0.6667 0.3334 [2 per cell]

Which structure is the most stable? The one labeled b.

a | The following is a PBE calculation of RbAlAu after structural relaxation, from OQMD.

Lattice parameters (Å, degrees): 7.242 7.242 7.242 90.00 90.00 90.00
Space group F-43m (No. 216)
Symmetry-distinct sites (fractional):
Rb 0.000 0.000 0.000 [4 per cell]
Al 0.250 0.250 0.750 [4 per cell]
Au 0.000 0.000 0.500 [4 per cell]

b | The following is a PBE calculation of RbAlAu after structural relaxation, from OQMD.

Lattice parameters (Å, degrees): 7.719 7.719 7.719 90.00 90.00 90.00
Space group F-43m (No. 216)
Symmetry-distinct sites (fractional):
Rb 0.000 0.000 0.000 [4 per cell]
Al 0.250 0.250 0.750 [4 per cell]
Au 0.250 0.250 0.250 [4 per cell]

Which structure is the most stable? The one labeled a.